A geometry-optimized GeSb2TeN structure, computed with PBE.

Energy above the most stable polymorph in this dataset in eV/atom: 0.000
Calculated density in g/cm3: 6.93
Total DFT energy (no corrections) in eV/cell: -21.00
E_form (uncorrected) in meV per atom: 665
Space-group type: P4/mmm
Density of states at the Fermi level in states/eV/cell: 3.743
Volume in Å³ per cell: 109.8

abc: 4.839 4.839 4.687
angles: 90.00 90.00 90.00
Atoms (fractional coordinates):
Ge1 0.500 0.500 0.500
Sb1 0.000 0.500 0.000
Sb2 0.500 0.000 0.000
N1 0.000 0.000 0.000
Te1 0.000 0.000 0.500